Record 1
# GGA-PBE AcTbCeTh, optimized geometry
data_AcTbCeTh
_chemical_formula_sum 'Ac4 Tb4 Ce4 Th4'
_cell_length_a 8.1953
_cell_length_b 8.1953
_cell_length_c 8.1953
_cell_angle_alpha 90.00
_cell_angle_beta 90.00
_cell_angle_gamma 90.00
_space_group_name_H-M_alt 'P 1'
_space_group_IT_number 1
loop_
_space_group_symop_operation_xyz
'x,y,z'
loop_
_atom_site_label
_atom_site_type_symbol
_atom_site_fract_x
_atom_site_fract_y
_atom_site_fract_z
Ac1 Ac 0.0000 0.0000 0.0000
Ac2 Ac 0.0000 0.5000 0.5000
Ac3 Ac 0.5000 0.0000 0.5000
Ac4 Ac 0.5000 0.5000 0.0000
Tb1 Tb 0.2500 0.2500 0.2500
Tb2 Tb 0.2500 0.7500 0.7500
Tb3 Tb 0.7500 0.2500 0.7500
Tb4 Tb 0.7500 0.7500 0.2500
Ce1 Ce 0.2500 0.2500 0.7500
Ce2 Ce 0.2500 0.7500 0.2500
Ce3 Ce 0.7500 0.2500 0.2500
Ce4 Ce 0.7500 0.7500 0.7500
Th1 Th 0.0000 0.0000 0.5000
Th2 Th 0.0000 0.5000 0.0000
Th3 Th 0.5000 0.0000 0.0000
Th4 Th 0.5000 0.5000 0.5000
# ΔH_f (0 K) (meV per atom): 246
# DOS(E_F) (states/eV/cell): 55.57
# Space group: F-43m (216)


Record 2
# GGA-PBE Rb3TcF6, optimized geometry
data_Rb3TcF6
_chemical_formula_sum 'Rb3 Tc1 F6'
_cell_length_a 6.6133
_cell_length_b 6.6133
_cell_length_c 6.6133
_cell_angle_alpha 119.61
_cell_angle_beta 119.61
_cell_angle_gamma 90.67
_space_group_name_H-M_alt 'P 1'
_space_group_IT_number 1
loop_
_space_group_symop_operation_xyz
'x,y,z'
loop_
_atom_site_label
_atom_site_type_symbol
_atom_site_fract_x
_atom_site_fract_y
_atom_site_fract_z
Rb1 Rb 0.0000 0.0000 0.0000
Rb2 Rb 0.2500 0.7500 0.5000
Rb3 Rb 0.7500 0.2500 0.5000
Tc1 Tc 0.5000 0.5000 0.0000
F1 F 0.2805 0.2805 0.5610
F2 F 0.2805 0.7195 0.0000
F3 F 0.2835 0.2835 0.0000
F4 F 0.7165 0.7165 0.0000
F5 F 0.7195 0.2805 0.0000
F6 F 0.7195 0.7195 0.4390
# DOS(E_F) (states/eV/cell): 6.48
# Formation energy from raw total energies (kJ per mole of atoms): -233.6
# Space group: I4/mmm (139)


Record 3
# GGA-PBE Rb2PaSbSe5, optimized geometry
data_Rb2PaSbSe5
_chemical_formula_sum 'Rb4 Pa2 Sb2 Se10'
_cell_length_a 9.7813
_cell_length_b 9.7813
_cell_length_c 15.5395
_cell_angle_alpha 90.00
_cell_angle_beta 90.00
_cell_angle_gamma 153.74
_space_group_name_H-M_alt 'P 1'
_space_group_IT_number 1
loop_
_space_group_symop_operation_xyz
'x,y,z'
loop_
_atom_site_label
_atom_site_type_symbol
_atom_site_fract_x
_atom_site_fract_y
_atom_site_fract_z
Rb1 Rb 0.0982 0.9018 0.5000
Rb2 Rb 0.1387 0.8613 0.1538
Rb3 Rb 0.8613 0.1387 0.6538
Rb4 Rb 0.9018 0.0982 0.0000
Pa1 Pa 0.2112 0.7888 0.8762
Pa2 Pa 0.7888 0.2112 0.3762
Sb1 Sb 0.4572 0.5428 0.2787
Sb2 Sb 0.5428 0.4572 0.7787
Se1 Se 0.0677 0.9323 0.8989
Se2 Se 0.2797 0.7203 0.4886
Se3 Se 0.3161 0.6839 0.2563
Se4 Se 0.3452 0.6548 0.8333
Se5 Se 0.4976 0.5024 0.1241
Se6 Se 0.5024 0.4976 0.6241
Se7 Se 0.6548 0.3452 0.3333
Se8 Se 0.6839 0.3161 0.7563
Se9 Se 0.7203 0.2797 0.9886
Se10 Se 0.9323 0.0677 0.3989
# Formation energy from raw total energies (kJ per mole of atoms): -98.9
# Space group: Cmc2_1 (36)


Record 4
# GGA-PBE Sr2TeWN, optimized geometry
data_Sr2TeWN
_chemical_formula_sum 'Sr2 Te1 W1 N1'
_cell_length_a 6.1058
_cell_length_b 6.1058
_cell_length_c 3.9212
_cell_angle_alpha 90.00
_cell_angle_beta 90.00
_cell_angle_gamma 90.00
_space_group_name_H-M_alt 'P 1'
_space_group_IT_number 1
loop_
_space_group_symop_operation_xyz
'x,y,z'
loop_
_atom_site_label
_atom_site_type_symbol
_atom_site_fract_x
_atom_site_fract_y
_atom_site_fract_z
Sr1 Sr 0.0000 0.5000 0.0000
Sr2 Sr 0.5000 0.0000 0.0000
Te1 Te 0.0000 0.0000 0.5000
W1 W 0.5000 0.5000 0.0000
N1 N 0.5000 0.5000 0.5000
# DOS(E_F) (states/eV/cell): 2.85
# Formation energy from raw total energies (kJ per mole of atoms): -8.8
# Space group: P4/mmm (123)


Record 5
# GGA-PBE K2Tl6Zn, optimized geometry
data_K2Tl6Zn
_chemical_formula_sum 'K2 Tl6 Zn1'
_cell_length_a 6.9355
_cell_length_b 6.9355
_cell_length_c 6.6881
_cell_angle_alpha 96.52
_cell_angle_beta 96.52
_cell_angle_gamma 65.94
_space_group_name_H-M_alt 'P 1'
_space_group_IT_number 1
loop_
_space_group_symop_operation_xyz
'x,y,z'
loop_
_atom_site_label
_atom_site_type_symbol
_atom_site_fract_x
_atom_site_fract_y
_atom_site_fract_z
K1 K 0.1755 0.1755 0.3409
K2 K 0.8245 0.8245 0.6591
Tl1 Tl 0.1294 0.6813 0.1869
Tl2 Tl 0.3187 0.8706 0.8131
Tl3 Tl 0.3533 0.3533 0.8240
Tl4 Tl 0.6467 0.6467 0.1761
Tl5 Tl 0.6813 0.1294 0.1869
Tl6 Tl 0.8706 0.3187 0.8131
Zn1 Zn 0.5000 0.5000 0.5000
# ΔH_f (0 K) (meV per atom): -48
# DOS(E_F) (states/eV/cell): 3.36
# Space group: C2/m (12)


Record 6
# GGA-PBE Cu2TeHPb, optimized geometry
data_Cu2TeHPb
_chemical_formula_sum 'Cu2 Te1 H1 Pb1'
_cell_length_a 5.0703
_cell_length_b 5.0703
_cell_length_c 5.9748
_cell_angle_alpha 90.00
_cell_angle_beta 90.00
_cell_angle_gamma 90.00
_space_group_name_H-M_alt 'P 1'
_space_group_IT_number 1
loop_
_space_group_symop_operation_xyz
'x,y,z'
loop_
_atom_site_label
_atom_site_type_symbol
_atom_site_fract_x
_atom_site_fract_y
_atom_site_fract_z
Cu1 Cu 0.0000 0.5000 0.0000
Cu2 Cu 0.5000 0.0000 0.0000
Te1 Te 0.0000 0.0000 0.5000
H1 H 0.5000 0.5000 0.5000
Pb1 Pb 0.0000 0.0000 0.0000
# DFT total energy (Ha/atom): -0.09196
# DOS(E_F) (states/eV/cell): 3.72
# Space group: P4/mmm (123)